Computed, not measured: a relaxed K2HfBeGe crystal at the PBE-GGA level of DFT.

a b c (Å): 7.1579 5.0575 7.1579
angles (deg): 90.00 90.00 90.00
Last column: nearest neighbours and their distance in Å.
Atoms (fractional coordinates):
K (0.5000, 0.0000, 0.0000)  2 Hf 3.58
Be (0.5000, 0.5000, 0.5000)  8 K 4.38
Ge (0.0000, 0.5000, 0.0000)  2 Hf 2.53
Hf (0.0000, 0.0000, 0.0000)  2 Ge 2.53
K (0.0000, 0.0000, 0.5000)  2 Hf 3.58

The energy of formation from the pure elements is 1.269 eV/atom.

***

Computed, not measured: a relaxed Nb12AlIn3 crystal at the PBE-GGA level of DFT.

a b c (Å): 5.3092 5.3122 10.5808
angles (deg): 90.00 90.00 90.00
Last column: nearest neighbours and their distance in Å.
Atoms (fractional coordinates):
Nb (0.2520, 0.5000, 0.0000)  2 Nb 2.63-2.68
Nb (0.0000, 0.2469, 0.7426)  2 Nb 2.62-2.69, 1 Al 2.88
Nb (0.5000, 0.0000, 0.6214)  2 Nb 2.57-2.68
In (0.0000, 0.0000, 0.0000)  12 Nb 2.97-3.02
In (0.5000, 0.5000, 0.2505)  12 Nb 2.96-2.98
Nb (0.5000, 0.0000, 0.8744)  2 Nb 2.66-2.68, 4 In 2.97
Nb (0.2395, 0.5000, 0.5000)  2 Nb 2.54-2.77
Nb (0.5000, 0.0000, 0.3786)  2 Nb 2.57-2.68
Al (0.0000, 0.0000, 0.5000)  12 Nb 2.88-2.95
Nb (0.7605, 0.5000, 0.5000)  2 Nb 2.54-2.77
Nb (0.0000, 0.2469, 0.2574)  2 Nb 2.62-2.69, 1 Al 2.88
Nb (0.5000, 0.0000, 0.1256)  2 Nb 2.66-2.68, 4 In 2.97
In (0.5000, 0.5000, 0.7495)  12 Nb 2.96-2.98
Nb (0.0000, 0.7531, 0.7426)  2 Nb 2.62-2.69, 1 Al 2.88
Nb (0.0000, 0.7531, 0.2574)  2 Nb 2.62-2.69, 1 Al 2.88
Nb (0.7480, 0.5000, 0.0000)  2 Nb 2.63-2.68

The energy of formation from the pure elements is -0.044 eV/atom.

***

Computed, not measured: a relaxed SmY14Pu crystal at the PBE-GGA level of DFT.

a b c (Å): 7.1484 7.1484 10.0524
angles (deg): 90.00 90.00 90.01
Last column: nearest neighbours and their distance in Å.
Atoms (fractional coordinates):
Pu (0.3750, 0.6250, 0.0000)  12 Y 3.54-3.58
Y (0.1270, 0.3771, 0.7519)  1 Pu 3.54, 10 Y 3.54-3.60, 1 Sm 3.57
Y (0.6229, 0.3771, 0.2482)  1 Pu 3.54, 10 Y 3.54-3.60, 1 Sm 3.57
Y (0.3751, 0.1251, 0.0000)  8 Y 3.55, 2 Pu 3.57-3.58, 2 Sm 3.57-3.58
Y (0.6229, 0.8730, 0.2481)  1 Pu 3.54, 10 Y 3.54-3.60, 1 Sm 3.57
Y (0.3750, 0.1250, 0.5000)  12 Y 3.57-3.58
Y (0.6229, 0.8730, 0.7519)  1 Pu 3.54, 10 Y 3.54-3.60, 1 Sm 3.57
Y (0.8751, 0.1249, 0.5000)  12 Y 3.57-3.59
Y (0.1271, 0.8729, 0.7520)  1 Pu 3.54, 10 Y 3.54-3.60, 1 Sm 3.57
Y (0.8750, 0.6250, 0.5000)  12 Y 3.57-3.58
Y (0.1271, 0.8729, 0.2480)  1 Pu 3.54, 10 Y 3.54-3.60, 1 Sm 3.57
Sm (0.8750, 0.1250, 0.0000)  12 Y 3.57-3.58
Y (0.1270, 0.3771, 0.2481)  1 Pu 3.54, 10 Y 3.54-3.60, 1 Sm 3.57
Y (0.8749, 0.6249, 0.0000)  8 Y 3.55, 2 Pu 3.57-3.58, 2 Sm 3.57-3.58
Y (0.3749, 0.6251, 0.5000)  12 Y 3.56-3.57
Y (0.6229, 0.3771, 0.7518)  1 Pu 3.54, 10 Y 3.54-3.60, 1 Sm 3.57

The energy of formation from the pure elements is 0.047 eV/atom.

***

Computed, not measured: a relaxed SmY4Tm7 crystal at the PBE-GGA level of DFT.

a b c (Å): 6.9269 6.7207 12.0563
angles (deg): 72.43 44.83 76.20
Last column: nearest neighbours and their distance in Å.
Atoms (fractional coordinates):
Tm (0.5000, 0.0000, 0.0000)  4 Tm 3.30-3.53, 2 Sm 3.46, 4 Y 3.66-3.67
Y (0.2751, 0.1873, 0.3329)  8 Tm 3.43-3.84, 4 Y 3.53-3.78, 1 Sm 3.79
Y (0.5485, 0.3486, 0.6815)  7 Tm 3.34-3.67, 2 Y 3.53, 1 Sm 3.58
Tm (0.7773, 0.5219, 0.9724)  5 Tm 3.22-3.52, 2 Y 3.34-3.53, 1 Sm 3.50
Y (0.7249, 0.8127, 0.6671)  8 Tm 3.43-3.84, 4 Y 3.53-3.78, 1 Sm 3.79
Tm (0.2598, 0.8219, 0.6316)  4 Tm 3.29-3.45, 5 Y 3.43-3.64
Tm (0.7402, 0.1781, 0.3684)  4 Tm 3.29-3.45, 5 Y 3.43-3.64
Tm (0.9360, 0.6804, 0.3275)  4 Tm 3.22-3.53, 5 Y 3.35-3.59
Y (0.4515, 0.6514, 0.3185)  7 Tm 3.34-3.67, 2 Y 3.53, 1 Sm 3.58
Sm (0.0000, 0.0000, 0.0000)  6 Tm 3.46-3.64, 4 Y 3.58-3.79
Tm (0.0640, 0.3196, 0.6725)  4 Tm 3.22-3.53, 5 Y 3.35-3.59
Tm (0.2227, 0.4781, 0.0276)  5 Tm 3.22-3.52, 2 Y 3.34-3.53, 1 Sm 3.50

The energy of formation from the pure elements is 0.081 eV/atom. The calculation puts the energy above the lowest structure with this stoichiometry at 0.000 eV per atom.

***

> Which of these has the highest energy of formation from the pure elements?

K2HfBeGe